A plane-wave DFT calculation with GGA-PBE was carried out for crystalline DyAg2Au at its relaxed geometry.

- energy (hartree per atom) = -0.1410
- energy relative to the elements (eV/atom) = -0.46

Cell lengths 5.0330, 6.0301, 5.2842 Å; angles 90.00, 90.00, 90.00 degrees
Closest atoms and distances in Å follow each position.
Atoms (fractional coordinates):
Ag: 0.0000 0.2551 0.3559  4 Ag 2.94-3.08, 4 Au 2.96-3.13, 4 Dy 3.03-3.14
Ag: 0.0000 0.7449 0.3559  4 Ag 2.94-3.08, 4 Au 2.96-3.13, 4 Dy 3.03-3.14
Ag: 0.5000 0.2449 0.6441  4 Ag 2.94-3.08, 4 Au 2.96-3.13, 4 Dy 3.03-3.14
Ag: 0.5000 0.7551 0.6441  4 Ag 2.94-3.08, 4 Au 2.96-3.13, 4 Dy 3.03-3.14
Au: 0.5000 0.0000 0.1590  8 Ag 2.96-3.13, 4 Dy 2.97-3.02
Au: 0.0000 0.5000 0.8410  8 Ag 2.96-3.13, 4 Dy 2.97-3.02
Dy: 0.5000 0.5000 0.1385  4 Au 2.97-3.02, 8 Ag 3.03-3.14
Dy: 0.0000 0.0000 0.8615  4 Au 2.97-3.02, 8 Ag 3.03-3.14